# 1
# Ta2SbSe (PBE-GGA, optimized geometry)
data_Ta2SbSe
_cell_length_a 5.187
_cell_length_b 5.187
_cell_length_c 5.187
_cell_angle_alpha 131.19
_cell_angle_beta 131.19
_cell_angle_gamma 71.50
_symmetry_space_group_name_H-M 'P 1'
_symmetry_Int_Tables_number 1
_symmetry_space_group_name_Hall 'P 1'
loop_
_atom_site_label
_atom_site_fract_x
_atom_site_fract_y
_atom_site_fract_z
Ta1 0.000 0.000 0.000
Ta2 0.750 0.250 0.500
Sb1 0.250 0.750 0.500
Se1 0.500 0.500 0.000
# **E_form (uncorrected)**: 0.333 eV per atom
# **E**: -7.495 eV/atom
# **Distance to the lowest polymorph of the same formula**: 0.546 eV/atom
# **Mass density**: 12.08 g/cm3
# **SG**: I-4m2

=====

# 2
# TaSb2Se (PBE-GGA, optimized geometry)
data_TaSb2Se
_cell_length_a 5.645
_cell_length_b 5.645
_cell_length_c 4.986
_cell_angle_alpha 98.20
_cell_angle_beta 98.20
_cell_angle_gamma 35.63
_symmetry_space_group_name_H-M 'P 1'
_symmetry_Int_Tables_number 1
_symmetry_space_group_name_Hall 'P 1'
loop_
_atom_site_label
_atom_site_fract_x
_atom_site_fract_y
_atom_site_fract_z
Ta1 0.000 0.000 0.000
Sb1 0.291 0.291 0.775
Sb2 0.709 0.709 0.225
Se1 0.500 0.500 0.500
# **E_form (uncorrected)**: 0.242 eV per atom
# **E**: -5.654 eV/atom
# **Mass density**: 9.13 g/cm3
# **SG**: C2/m

=====

# 3
# TaSbSe (PBE-GGA, optimized geometry)
data_TaSbSe
_cell_length_a 7.690
_cell_length_b 7.052
_cell_length_c 5.737
_cell_angle_alpha 90.00
_cell_angle_beta 106.83
_cell_angle_gamma 90.00
_symmetry_space_group_name_H-M 'P 1'
_symmetry_Int_Tables_number 1
_symmetry_space_group_name_Hall 'P 1'
loop_
_atom_site_label
_atom_site_fract_x
_atom_site_fract_y
_atom_site_fract_z
Ta1 0.003 0.127 0.234
Ta2 0.003 0.373 0.734
Ta3 0.997 0.627 0.266
Ta4 0.997 0.873 0.766
Sb1 0.279 0.628 0.020
Sb2 0.279 0.872 0.520
Sb3 0.721 0.128 0.480
Sb4 0.721 0.372 0.980
Se1 0.236 0.131 0.995
Se2 0.236 0.369 0.495
Se3 0.764 0.631 0.505
Se4 0.764 0.869 0.005
# **E_form (uncorrected)**: -0.313 eV per atom
# **E**: -6.799 eV/atom
# **Mass density**: 8.51 g/cm3
# **SG**: P2_1/c

=====

# 4
# TaSbSe2 (PBE-GGA, optimized geometry)
data_TaSbSe2
_cell_length_a 5.322
_cell_length_b 5.322
_cell_length_c 5.322
_cell_angle_alpha 132.12
_cell_angle_beta 132.12
_cell_angle_gamma 70.03
_symmetry_space_group_name_H-M 'P 1'
_symmetry_Int_Tables_number 1
_symmetry_space_group_name_Hall 'P 1'
loop_
_atom_site_label
_atom_site_fract_x
_atom_site_fract_y
_atom_site_fract_z
Ta1 0.000 0.000 0.000
Sb1 0.250 0.750 0.500
Se1 0.500 0.500 0.000
Se2 0.750 0.250 0.500
# **E_form (uncorrected)**: 0.397 eV per atom
# **E**: -5.339 eV/atom
# **Mass density**: 9.41 g/cm3
# **SG**: I-4m2

=====

# 5
# Ta2SbSe (PBE-GGA, optimized geometry)
data_Ta2SbSe
_cell_length_a 3.453
_cell_length_b 3.554
_cell_length_c 6.883
_cell_angle_alpha 90.00
_cell_angle_beta 90.00
_cell_angle_gamma 90.00
_symmetry_space_group_name_H-M 'P 1'
_symmetry_Int_Tables_number 1
_symmetry_space_group_name_Hall 'P 1'
loop_
_atom_site_label
_atom_site_fract_x
_atom_site_fract_y
_atom_site_fract_z
Ta1 0.000 0.000 0.214
Ta2 0.000 0.000 0.786
Sb1 0.500 0.500 0.000
Se1 0.500 0.000 0.500
# **E_form (uncorrected)**: 0.088 eV per atom
# **E**: -7.740 eV/atom
# **Distance to the lowest polymorph of the same formula**: 0.302 eV/atom
# **Mass density**: 11.06 g/cm3
# **SG**: Pmmm

=====

# 6
# TaSb3Se (PBE-GGA, optimized geometry)
data_TaSb3Se
_cell_length_a 5.243
_cell_length_b 5.243
_cell_length_c 5.243
_cell_angle_alpha 90.00
_cell_angle_beta 90.00
_cell_angle_gamma 90.00
_symmetry_space_group_name_H-M 'P 1'
_symmetry_Int_Tables_number 1
_symmetry_space_group_name_Hall 'P 1'
loop_
_atom_site_label
_atom_site_fract_x
_atom_site_fract_y
_atom_site_fract_z
Ta1 0.000 0.000 0.000
Sb1 0.000 0.500 0.500
Sb2 0.500 0.000 0.500
Sb3 0.500 0.500 0.000
Se1 0.500 0.500 0.500
# **E_form (uncorrected)**: 1.258 eV per atom
# **E**: -4.282 eV/atom
# **Distance to the lowest polymorph of the same formula**: 0.807 eV/atom
# **Mass density**: 7.20 g/cm3
# **SG**: Pm-3m

=====

# 7
# Ta4SbSe (PBE-GGA, optimized geometry)
data_Ta4SbSe
_cell_length_a 5.560
_cell_length_b 5.560
_cell_length_c 5.560
_cell_angle_alpha 60.00
_cell_angle_beta 60.00
_cell_angle_gamma 60.00
_symmetry_space_group_name_H-M 'P 1'
_symmetry_Int_Tables_number 1
_symmetry_space_group_name_Hall 'P 1'
loop_
_atom_site_label
_atom_site_fract_x
_atom_site_fract_y
_atom_site_fract_z
Ta1 0.125 0.125 0.125
Ta2 0.125 0.125 0.625
Ta3 0.125 0.625 0.125
Ta4 0.625 0.125 0.125
Sb1 0.750 0.750 0.750
Se1 0.500 0.500 0.500
# **E_form (uncorrected)**: 0.514 eV per atom
# **E**: -8.656 eV/atom
# **Mass density**: 12.63 g/cm3
# **SG**: F-43m

=====

# 8
# Ta2SbSe (PBE-GGA, optimized geometry)
data_Ta2SbSe
_cell_length_a 3.091
_cell_length_b 3.091
_cell_length_c 9.507
_cell_angle_alpha 90.00
_cell_angle_beta 90.00
_cell_angle_gamma 90.00
_symmetry_space_group_name_H-M 'P 1'
_symmetry_Int_Tables_number 1
_symmetry_space_group_name_Hall 'P 1'
loop_
_atom_site_label
_atom_site_fract_x
_atom_site_fract_y
_atom_site_fract_z
Ta1 0.000 0.000 0.000
Ta2 0.500 0.500 0.233
Sb1 0.000 0.000 0.458
Se1 0.500 0.500 0.843
# **E_form (uncorrected)**: -0.128 eV per atom
# **E**: -7.956 eV/atom
# **Distance to the lowest polymorph of the same formula**: 0.086 eV/atom
# **Mass density**: 10.29 g/cm3
# **SG**: P4mm

=====

# 9
# TaSb2Se (PBE-GGA, optimized geometry)
data_TaSb2Se
_cell_length_a 5.191
_cell_length_b 5.191
_cell_length_c 3.347
_cell_angle_alpha 90.00
_cell_angle_beta 90.00
_cell_angle_gamma 106.48
_symmetry_space_group_name_H-M 'P 1'
_symmetry_Int_Tables_number 1
_symmetry_space_group_name_Hall 'P 1'
loop_
_atom_site_label
_atom_site_fract_x
_atom_site_fract_y
_atom_site_fract_z
Ta1 0.000 0.000 0.000
Sb1 0.000 0.500 0.500
Sb2 0.500 0.000 0.500
Se1 0.500 0.500 0.000
# **E_form (uncorrected)**: 0.405 eV per atom
# **E**: -5.490 eV/atom
# **Mass density**: 9.67 g/cm3
# **SG**: Cmmm

=====

# 10
# Ta2SbSe (PBE-GGA, optimized geometry)
data_Ta2SbSe
_cell_length_a 4.460
_cell_length_b 4.460
_cell_length_c 6.131
_cell_angle_alpha 101.55
_cell_angle_beta 101.55
_cell_angle_gamma 43.12
_symmetry_space_group_name_H-M 'P 1'
_symmetry_Int_Tables_number 1
_symmetry_space_group_name_Hall 'P 1'
loop_
_atom_site_label
_atom_site_fract_x
_atom_site_fract_y
_atom_site_fract_z
Ta1 0.245 0.245 0.189
Ta2 0.755 0.755 0.811
Sb1 0.000 0.000 0.500
Se1 0.500 0.500 0.000
# **E_form (uncorrected)**: 0.130 eV per atom
# **E**: -7.698 eV/atom
# **Distance to the lowest polymorph of the same formula**: 0.343 eV/atom
# **Mass density**: 11.48 g/cm3
# **SG**: C2/m

=====

# 11
# Ta2SbSe (PBE-GGA, optimized geometry)
data_Ta2SbSe
_cell_length_a 3.497
_cell_length_b 3.497
_cell_length_c 6.413
_cell_angle_alpha 90.00
_cell_angle_beta 90.00
_cell_angle_gamma 90.00
_symmetry_space_group_name_H-M 'P 1'
_symmetry_Int_Tables_number 1
_symmetry_space_group_name_Hall 'P 1'
loop_
_atom_site_label
_atom_site_fract_x
_atom_site_fract_y
_atom_site_fract_z
Ta1 0.000 0.000 0.000
Ta2 0.500 0.500 0.272
Sb1 0.000 0.000 0.495
Se1 0.500 0.500 0.844
# **E_form (uncorrected)**: -0.211 eV per atom
# **E**: -8.039 eV/atom
# **Distance to the lowest polymorph of the same formula**: 0.003 eV/atom
# **Mass density**: 11.91 g/cm3
# **SG**: P4mm

=====

# 12
# TaSbSe (PBE-GGA, optimized geometry)
data_TaSbSe
_cell_length_a 4.691
_cell_length_b 4.691
_cell_length_c 4.691
_cell_angle_alpha 60.00
_cell_angle_beta 60.00
_cell_angle_gamma 60.00
_symmetry_space_group_name_H-M 'P 1'
_symmetry_Int_Tables_number 1
_symmetry_space_group_name_Hall 'P 1'
loop_
_atom_site_label
_atom_site_fract_x
_atom_site_fract_y
_atom_site_fract_z
Ta1 0.000 0.000 0.000
Sb1 0.250 0.250 0.250
Se1 0.750 0.750 0.750
# **E_form (uncorrected)**: 0.216 eV per atom
# **E**: -6.270 eV/atom
# **Mass density**: 8.68 g/cm3
# **SG**: F-43m

=====

# 13
# TaSbSe2 (PBE-GGA, optimized geometry)
data_TaSbSe2
_cell_length_a 3.408
_cell_length_b 4.398
_cell_length_c 5.620
_cell_angle_alpha 90.00
_cell_angle_beta 90.00
_cell_angle_gamma 90.00
_symmetry_space_group_name_H-M 'P 1'
_symmetry_Int_Tables_number 1
_symmetry_space_group_name_Hall 'P 1'
loop_
_atom_site_label
_atom_site_fract_x
_atom_site_fract_y
_atom_site_fract_z
Ta1 0.000 0.000 0.000
Sb1 0.500 0.000 0.500
Se1 0.000 0.500 0.500
Se2 0.500 0.500 0.000
# **E_form (uncorrected)**: 0.360 eV per atom
# **E**: -5.376 eV/atom
# **Mass density**: 9.08 g/cm3
# **SG**: Pmmm

=====

# 14
# Ta2SbSe (PBE-GGA, optimized geometry)
data_Ta2SbSe
_cell_length_a 3.410
_cell_length_b 4.713
_cell_length_c 5.310
_cell_angle_alpha 90.00
_cell_angle_beta 90.00
_cell_angle_gamma 90.00
_symmetry_space_group_name_H-M 'P 1'
_symmetry_Int_Tables_number 1
_symmetry_space_group_name_Hall 'P 1'
loop_
_atom_site_label
_atom_site_fract_x
_atom_site_fract_y
_atom_site_fract_z
Ta1 0.000 0.000 0.000
Ta2 0.500 0.500 0.145
Sb1 0.000 0.500 0.706
Se1 0.500 0.000 0.366
# **E_form (uncorrected)**: -0.018 eV per atom
# **E**: -7.846 eV/atom
# **Distance to the lowest polymorph of the same formula**: 0.196 eV/atom
# **Mass density**: 10.95 g/cm3
# **SG**: Pmm2

=====

# 15
# Ta2SbSe (PBE-GGA, optimized geometry)
data_Ta2SbSe
_cell_length_a 8.879
_cell_length_b 8.879
_cell_length_c 8.879
_cell_angle_alpha 20.64
_cell_angle_beta 20.64
_cell_angle_gamma 20.64
_symmetry_space_group_name_H-M 'P 1'
_symmetry_Int_Tables_number 1
_symmetry_space_group_name_Hall 'P 1'
loop_
_atom_site_label
_atom_site_fract_x
_atom_site_fract_y
_atom_site_fract_z
Ta1 0.243 0.243 0.243
Ta2 0.757 0.757 0.757
Sb1 0.000 0.000 0.000
Se1 0.500 0.500 0.500
# **E_form (uncorrected)**: 0.117 eV per atom
# **E**: -7.711 eV/atom
# **Distance to the lowest polymorph of the same formula**: 0.330 eV/atom
# **Mass density**: 12.27 g/cm3
# **SG**: R-3m